{"formula": "Ca2Ag", "functional": "GGA-PBE", "state": "optimized geometry", "e_tot_ev_per_cell": -7.17, "magmom_total_mub_per_fu": 0.0, "spacegroup": "P-3m1", "cell": [[4.185, 0.000, 0.000], [-2.092, 3.624, 0.000], [0.000, 0.000, 6.899]], "species": ["Ca", "Ca", "Ag"], "fractional_positions": [[0.333, 0.667, 0.265], [0.667, 0.333, 0.735], [0.000, 0.000, 0.000]]}

***

{"formula": "CaAg3", "functional": "GGA-PBE", "state": "optimized geometry", "e_tot_ev_per_cell": -10.58, "magmom_total_mub_per_fu": 0.0, "spacegroup": "R-3m", "cell": [[4.734, 2.733, 1.104], [-4.734, 2.733, 1.104], [0.000, -5.466, 1.104]], "species": ["Ca", "Ag", "Ag", "Ag"], "fractional_positions": [[0.000, 0.000, 0.000], [0.000, 0.500, 0.500], [0.500, 0.000, 0.500], [0.500, 0.500, 0.000]]}

***

{"formula": "CaAg", "functional": "GGA-PBE", "state": "optimized geometry", "e_tot_ev_per_cell": -15.81, "magmom_total_mub_per_fu": 0.0, "spacegroup": "Cm", "cell": [[5.548, -1.894, 0.000], [5.548, 1.894, 0.000], [-1.531, 0.000, 7.718]], "species": ["Ca", "Ca", "Ca", "Ag", "Ag", "Ag"], "fractional_positions": [[0.000, 0.000, 0.000], [0.076, 0.076, 0.596], [0.761, 0.761, 0.312], [0.362, 0.362, 0.675], [0.476, 0.476, 0.302], [0.714, 0.714, 0.881]]}

***

{"formula": "Ca2Ag", "functional": "GGA-PBE", "state": "optimized geometry", "e_tot_ev_per_cell": -15.09, "magmom_total_mub_per_fu": 0.0, "spacegroup": "C2/m", "cell": [[6.195, -2.142, 0.000], [6.195, 2.142, 0.000], [-4.752, 0.000, 7.198]], "species": ["Ca", "Ca", "Ca", "Ca", "Ag", "Ag"], "fractional_positions": [[0.084, 0.084, 0.367], [0.328, 0.328, 0.921], [0.672, 0.672, 0.079], [0.916, 0.916, 0.633], [0.373, 0.373, 0.329], [0.627, 0.627, 0.671]]}

***

{"formula": "CaAg6", "functional": "GGA-PBE", "state": "optimized geometry", "e_tot_ev_per_cell": -79.54, "magmom_total_mub_per_fu": 0.0, "spacegroup": "Pnma", "e_above_lowest_polymorph_mev_per_atom": 0.0, "cell": [[9.009, 0.000, 0.000], [0.000, 5.646, 0.000], [0.000, 0.000, 11.374]], "species": ["Ca", "Ca", "Ca", "Ca", "Ag", "Ag", "Ag", "Ag", "Ag", "Ag", "Ag", "Ag", "Ag", "Ag", "Ag", "Ag", "Ag", "Ag", "Ag", "Ag", "Ag", "Ag", "Ag", "Ag", "Ag", "Ag", "Ag", "Ag"], "fractional_positions": [[0.241, 0.250, 0.066], [0.259, 0.750, 0.566], [0.741, 0.250, 0.434], [0.759, 0.750, 0.934], [0.061, 0.008, 0.308], [0.061, 0.492, 0.308], [0.064, 0.750, 0.087], [0.109, 0.250, 0.520], [0.147, 0.750, 0.851], [0.187, 0.250, 0.762], [0.313, 0.750, 0.262], [0.353, 0.250, 0.351], [0.391, 0.750, 0.020], [0.436, 0.250, 0.587], [0.439, 0.508, 0.808], [0.439, 0.992, 0.808], [0.561, 0.008, 0.192], [0.561, 0.492, 0.192], [0.564, 0.750, 0.413], [0.609, 0.250, 0.980], [0.647, 0.750, 0.649], [0.687, 0.250, 0.738], [0.813, 0.750, 0.238], [0.853, 0.250, 0.149], [0.891, 0.750, 0.480], [0.936, 0.250, 0.913], [0.939, 0.508, 0.692], [0.939, 0.992, 0.692]]}

***

{"formula": "CaAg", "functional": "GGA-PBE", "state": "optimized geometry", "e_tot_ev_per_cell": -18.99, "magmom_total_mub_per_fu": 0.0, "spacegroup": "P6_3/mmc", "cell": [[5.388, 0.000, 0.000], [-2.694, 4.666, 0.000], [0.000, 0.000, 8.503]], "species": ["Ca", "Ca", "Ca", "Ca", "Ag", "Ag", "Ag", "Ag"], "fractional_positions": [[0.000, 0.000, 0.250], [0.000, 0.000, 0.750], [0.333, 0.667, 0.250], [0.667, 0.333, 0.750], [0.333, 0.667, 0.589], [0.333, 0.667, 0.911], [0.667, 0.333, 0.089], [0.667, 0.333, 0.411]]}

***

{"formula": "CaAg2", "functional": "GGA-PBE", "state": "optimized geometry", "e_tot_ev_per_cell": -16.31, "magmom_total_mub_per_fu": 0.0, "spacegroup": "I4/mcm", "cell": [[-2.779, 2.779, 4.818], [2.779, -2.779, 4.818], [2.779, 2.779, -4.818]], "species": ["Ca", "Ca", "Ag", "Ag", "Ag", "Ag"], "fractional_positions": [[0.250, 0.250, 0.000], [0.750, 0.750, 0.000], [0.176, 0.676, 0.852], [0.324, 0.176, 0.500], [0.676, 0.824, 0.500], [0.824, 0.324, 0.148]]}

***

{"formula": "Ca3Ag", "functional": "GGA-PBE", "state": "optimized geometry", "e_tot_ev_per_cell": -18.14, "magmom_total_mub_per_fu": 0.0, "spacegroup": "P6_3/mmc", "e_above_lowest_polymorph_mev_per_atom": 142.1, "cell": [[7.174, 0.000, 0.000], [-3.587, 6.213, 0.000], [0.000, 0.000, 5.744]], "species": ["Ca", "Ca", "Ca", "Ca", "Ca", "Ca", "Ag", "Ag"], "fractional_positions": [[0.172, 0.344, 0.250], [0.172, 0.828, 0.250], [0.344, 0.172, 0.750], [0.656, 0.828, 0.250], [0.828, 0.172, 0.750], [0.828, 0.656, 0.750], [0.333, 0.667, 0.750], [0.667, 0.333, 0.250]]}

***

{"formula": "CaAg", "functional": "GGA-PBE", "state": "optimized geometry", "e_tot_ev_per_cell": -21.12, "magmom_total_mub_per_fu": 0.0, "spacegroup": "Fddd", "cell": [[0.000, 4.753, 6.051], [3.927, 0.000, 6.051], [3.927, 4.753, 0.000]], "species": ["Ca", "Ca", "Ca", "Ca", "Ag", "Ag", "Ag", "Ag"], "fractional_positions": [[0.080, 0.670, 0.080], [0.330, 0.920, 0.330], [0.670, 0.080, 0.670], [0.920, 0.330, 0.920], [0.195, 0.555, 0.555], [0.445, 0.805, 0.805], [0.555, 0.195, 0.195], [0.805, 0.445, 0.445]]}

***

{"formula": "Ca3Ag", "functional": "GGA-PBE", "state": "optimized geometry", "e_tot_ev_per_cell": -9.03, "magmom_total_mub_per_fu": 0.0, "spacegroup": "Pm-3m", "e_above_lowest_polymorph_mev_per_atom": 152.1, "cell": [[5.049, 0.000, 0.000], [0.000, 5.049, 0.000], [0.000, 0.000, 5.049]], "species": ["Ca", "Ca", "Ca", "Ag"], "fractional_positions": [[0.000, 0.000, 0.500], [0.000, 0.500, 0.000], [0.500, 0.000, 0.000], [0.500, 0.500, 0.500]]}

***

{"formula": "CaAg6", "functional": "GGA-PBE", "state": "optimized geometry", "e_tot_ev_per_cell": -16.05, "magmom_total_mub_per_fu": 0.0, "spacegroup": "Im-3m", "e_above_lowest_polymorph_mev_per_atom": 547.8, "cell": [[-3.707, 3.707, 3.707], [3.707, -3.707, 3.707], [3.707, 3.707, -3.707]], "species": ["Ca", "Ag", "Ag", "Ag", "Ag", "Ag", "Ag"], "fractional_positions": [[0.000, 0.000, 0.000], [0.250, 0.500, 0.750], [0.250, 0.750, 0.500], [0.500, 0.250, 0.750], [0.500, 0.750, 0.250], [0.750, 0.250, 0.500], [0.750, 0.500, 0.250]]}

***

Values for E_form, eV/atom, ordered as above
-0.11; -0.01; -0.21; -0.23; -0.11; 0.05; -0.15; -0.05; -0.21; -0.04; 0.44